(1)
CuNi2Os | meta-GGA SCAN | single point on PBEsol structure

Values from the calculation:
For the energy of formation from the pure elements, the calculation gives 11 kJ/mol of atoms. The calculated density comes out at 13349 kg/m³. The size of the total moment comes out at 0.00 μB per formula unit. As for the space-group type: No. 123.

```
data_CuNi2Os
_chemical_formula_sum 'Cu1 Ni2 Os1'
_cell_length_a 2.593
_cell_length_b 2.593
_cell_length_c 6.864
_cell_angle_alpha 90.00
_cell_angle_beta 90.00
_cell_angle_gamma 90.00
_space_group_name_H-M_alt 'P 1'
_space_group_IT_number 1
loop_
_space_group_symop_operation_xyz
'x,y,z'
loop_
_atom_site_label
_atom_site_type_symbol
_atom_site_fract_x
_atom_site_fract_y
_atom_site_fract_z
Cu1 Cu 0.000 0.000 0.000
Ni1 Ni 0.500 0.500 0.244
Ni2 Ni 0.500 0.500 0.756
Os1 Os 0.000 0.000 0.500
```

---

(2)
Zr3CoRu | meta-GGA SCAN | single point on PBEsol structure

Values from the calculation:
For the energy of formation from the pure elements, the calculation gives 50 kJ/mol of atoms. The calculated density comes out at 6232 kg/m³. The size of the total moment comes out at 0.81 μB per formula unit. As for the space-group type: No. 221.

```
data_Zr3CoRu
_chemical_formula_sum 'Zr3 Co1 Ru1'
_cell_length_a 4.871
_cell_length_b 4.871
_cell_length_c 4.871
_cell_angle_alpha 90.00
_cell_angle_beta 90.00
_cell_angle_gamma 90.00
_space_group_name_H-M_alt 'P 1'
_space_group_IT_number 1
loop_
_space_group_symop_operation_xyz
'x,y,z'
loop_
_atom_site_label
_atom_site_type_symbol
_atom_site_fract_x
_atom_site_fract_y
_atom_site_fract_z
Zr1 Zr 0.000 0.000 0.500
Zr2 Zr 0.000 0.500 0.000
Zr3 Zr 0.500 0.000 0.000
Co1 Co 0.500 0.500 0.500
Ru1 Ru 0.000 0.000 0.000
```

---

(3)
OsIN2 | meta-GGA SCAN | single point on PBEsol structure

Values from the calculation:
The calculated density comes out at 9982 kg/m³. For the formation energy from raw total energies, the calculation gives 1.04 eV/atom. The size of the total moment comes out at 1.32 μB per formula unit. As for the space-group type: No. 166.

```
data_OsIN2
_chemical_formula_sum 'Os1 I1 N2'
_cell_length_a 6.733
_cell_length_b 6.733
_cell_length_c 6.733
_cell_angle_alpha 27.49
_cell_angle_beta 27.49
_cell_angle_gamma 27.49
_space_group_name_H-M_alt 'P 1'
_space_group_IT_number 1
loop_
_space_group_symop_operation_xyz
'x,y,z'
loop_
_atom_site_label
_atom_site_type_symbol
_atom_site_fract_x
_atom_site_fract_y
_atom_site_fract_z
Os1 Os 0.000 0.000 0.000
I1 I 0.500 0.500 0.500
N1 N 0.381 0.381 0.381
N2 N 0.619 0.619 0.619
```

---

(4)
GaGeBiC2 | meta-GGA SCAN | single point on PBEsol structure

Values from the calculation:
For the energy of formation from the pure elements, the calculation gives 191 kJ/mol of atoms. The calculated density comes out at 7415 kg/m³. The size of the total moment comes out at 0.00 μB per formula unit. As for the space-group type: No. 123.

```
data_GaGeBiC2
_chemical_formula_sum 'Ga1 Ge1 Bi1 C2'
_cell_length_a 4.071
_cell_length_b 4.071
_cell_length_c 5.071
_cell_angle_alpha 90.00
_cell_angle_beta 90.00
_cell_angle_gamma 90.00
_space_group_name_H-M_alt 'P 1'
_space_group_IT_number 1
loop_
_space_group_symop_operation_xyz
'x,y,z'
loop_
_atom_site_label
_atom_site_type_symbol
_atom_site_fract_x
_atom_site_fract_y
_atom_site_fract_z
Ga1 Ga 0.000 0.000 0.000
Ge1 Ge 0.000 0.000 0.500
Bi1 Bi 0.500 0.500 0.500
C1 C 0.000 0.500 0.000
C2 C 0.500 0.000 0.000
```

---

(5)
VAs2H4O9 | meta-GGA SCAN | single point on PBEsol structure

Values from the calculation:
As for the total energy: -9.44 eV/atom. The calculated density comes out at 3548 kg/m³. The size of the total moment comes out at 1.00 μB per formula unit. As for the space-group type: No. 130.

```
data_VAs2H4O9
_chemical_formula_sum 'V4 As8 H16 O36'
_cell_length_a 9.122
_cell_length_b 9.122
_cell_length_c 7.848
_cell_angle_alpha 90.00
_cell_angle_beta 90.00
_cell_angle_gamma 90.00
_space_group_name_H-M_alt 'P 1'
_space_group_IT_number 1
loop_
_space_group_symop_operation_xyz
'x,y,z'
loop_
_atom_site_label
_atom_site_type_symbol
_atom_site_fract_x
_atom_site_fract_y
_atom_site_fract_z
V1 V 0.250 0.250 0.199
V2 V 0.250 0.250 0.699
V3 V 0.750 0.750 0.301
V4 V 0.750 0.750 0.801
As1 As 0.036 0.536 0.250
As2 As 0.036 0.964 0.750
As3 As 0.464 0.536 0.750
As4 As 0.464 0.964 0.250
As5 As 0.536 0.036 0.750
As6 As 0.536 0.464 0.250
As7 As 0.964 0.036 0.250
As8 As 0.964 0.464 0.750
H1 H 0.084 0.714 0.039
H2 H 0.084 0.786 0.539
H3 H 0.214 0.584 0.461
H4 H 0.214 0.916 0.961
H5 H 0.286 0.584 0.961
H6 H 0.286 0.916 0.461
H7 H 0.416 0.714 0.539
H8 H 0.416 0.786 0.039
H9 H 0.584 0.214 0.961
H10 H 0.584 0.286 0.461
H11 H 0.714 0.084 0.539
H12 H 0.714 0.416 0.039
H13 H 0.786 0.084 0.039
H14 H 0.786 0.416 0.539
H15 H 0.916 0.214 0.461
H16 H 0.916 0.286 0.961
O1 O 0.066 0.147 0.744
O2 O 0.066 0.353 0.244
O3 O 0.112 0.619 0.431
O4 O 0.112 0.881 0.931
O5 O 0.119 0.612 0.069
O6 O 0.119 0.888 0.569
O7 O 0.147 0.066 0.244
O8 O 0.147 0.434 0.744
O9 O 0.250 0.250 0.492
O10 O 0.250 0.250 0.992
O11 O 0.353 0.066 0.744
O12 O 0.353 0.434 0.244
O13 O 0.381 0.612 0.569
O14 O 0.381 0.888 0.069
O15 O 0.388 0.619 0.931
O16 O 0.388 0.881 0.431
O17 O 0.434 0.147 0.244
O18 O 0.434 0.353 0.744
O19 O 0.566 0.647 0.256
O20 O 0.566 0.853 0.756
O21 O 0.612 0.119 0.569
O22 O 0.612 0.381 0.069
O23 O 0.619 0.112 0.931
O24 O 0.619 0.388 0.431
O25 O 0.647 0.566 0.756
O26 O 0.647 0.934 0.256
O27 O 0.750 0.750 0.008
O28 O 0.750 0.750 0.508
O29 O 0.853 0.566 0.256
O30 O 0.853 0.934 0.756
O31 O 0.881 0.112 0.431
O32 O 0.881 0.388 0.931
O33 O 0.888 0.119 0.069
O34 O 0.888 0.381 0.569
O35 O 0.934 0.647 0.756
O36 O 0.934 0.853 0.256
```

---

(6)
GaHg2MoP | meta-GGA SCAN | single point on PBEsol structure

Values from the calculation:
For the energy of formation from the pure elements, the calculation gives 105 kJ/mol of atoms. The calculated density comes out at 8561 kg/m³. The size of the total moment comes out at 4.11 μB per formula unit. As for the space-group type: No. 123.

```
data_GaHg2MoP
_chemical_formula_sum 'Ga1 Hg2 Mo1 P1'
_cell_length_a 4.967
_cell_length_b 4.967
_cell_length_c 4.700
_cell_angle_alpha 90.00
_cell_angle_beta 90.00
_cell_angle_gamma 90.00
_space_group_name_H-M_alt 'P 1'
_space_group_IT_number 1
loop_
_space_group_symop_operation_xyz
'x,y,z'
loop_
_atom_site_label
_atom_site_type_symbol
_atom_site_fract_x
_atom_site_fract_y
_atom_site_fract_z
Ga1 Ga 0.000 0.000 0.000
Hg1 Hg 0.000 0.500 0.000
Hg2 Hg 0.500 0.000 0.000
Mo1 Mo 0.500 0.500 0.500
P1 P 0.000 0.000 0.500
```